Computed, not measured: a crystal of Cr2CuHg relaxed with PBEsol at the meta-GGA SCAN level of DFT.

Density of states at the Fermi level in states/eV per atom: 0.6160
DFT formation energy in eV per atom: 0.177
Total magnetic moment in μB per cell: 0.219

Cell lengths 6.1545, 6.1545, 6.1545 Å; angles 90.00, 90.00, 90.00 degrees
Space group F-43m (No. 216)
Symmetry-distinct sites (fractional):
Cr (0.0000, 0.0000, 0.0000) x4
Cr (0.2500, 0.2500, 0.2500) x4
Cu (0.0000, 0.0000, 0.5000) x4
Hg (0.2500, 0.2500, 0.7500) x4